DFT (PBE+U) results for crystalline Li13Ni9O22 at its relaxed geometry.

Cell and atoms, written as CIF:
```
data_Li13Ni9O22
_chemical_formula_sum 'Li13 Ni9 O22'
_space_group_name_H-M_alt 'P -1'
_space_group_IT_number 2
_space_group_name_Hall '-P 1'
_cell_length_a 6.447
_cell_length_b 6.475
_cell_length_c 10.028
_cell_angle_alpha 96.71
_cell_angle_beta 104.86
_cell_angle_gamma 108.49
loop_
_atom_site_label
_atom_site_type_symbol
_atom_site_fract_x
_atom_site_fract_y
_atom_site_fract_z
Li1 Li 0.000 0.000 0.000
Li2 Li 0.090 0.452 0.635
Li3 Li 0.178 0.906 0.277
Li4 Li 0.180 0.907 0.773
Li5 Li 0.273 0.361 0.907
Li6 Li 0.352 0.813 0.545
Li7 Li 0.461 0.264 0.187
Ni1 Ni 0.000 0.000 0.500
Ni2 Ni 0.092 0.457 0.136
Ni3 Ni 0.265 0.358 0.405
Ni4 Ni 0.363 0.821 0.044
Ni5 Ni 0.450 0.263 0.683
O1 O 0.030 0.743 0.564
O2 O 0.062 0.717 0.065
O3 O 0.138 0.172 0.689
O4 O 0.141 0.211 0.203
O5 O 0.216 0.641 0.857
O6 O 0.231 0.628 0.334
O7 O 0.298 0.086 0.480
O8 O 0.347 0.084 0.983
O9 O 0.394 0.565 0.111
O10 O 0.416 0.534 0.609
O11 O 0.488 0.977 0.235
```

density: 4.3 g cm⁻³
energy: -212.034 eV/cell
total moment: 13.00 μB per cell
density of states at the Fermi level: 5.65 states/eV/f.u.